1.
The following is a DFT calculation (PBE) of a relaxed Hf3ScRh4 crystal.

```
data_Hf3ScRh4
_chemical_formula_sum 'Hf3 Sc1 Rh4'
_cell_length_a 3.2881
_cell_length_b 4.5939
_cell_length_c 9.1827
_cell_angle_alpha 90.00
_cell_angle_beta 90.00
_cell_angle_gamma 90.00
_space_group_name_H-M_alt 'P m m m'
_space_group_IT_number 47
loop_
_space_group_symop_operation_xyz
'x,y,z'
'-x,-y,-z'
'-x,-y,z'
'x,y,-z'
'x,-y,-z'
'-x,y,z'
'-x,y,-z'
'x,-y,z'
loop_
_atom_site_label
_atom_site_fract_x
_atom_site_fract_y
_atom_site_fract_z
Hf1 0.0000 0.0000 0.0000
Hf2 0.0000 0.5000 0.2535
Sc1 0.0000 0.0000 0.5000
Rh1 0.5000 0.0000 0.2448
Rh2 0.5000 0.5000 0.0000
Rh3 0.5000 0.5000 0.5000
```

Computed properties:
* theoretical density: 11.9 g/cm³
* N(E_F): 5.0 states/eV per cell
* spin magnetization: 0.00 Bohr magnetons per cell
* formation enthalpy at 0 K: -0.92 eV per atom

---

2.
The following is a DFT calculation (PBE) of a relaxed Hf2ScRh crystal.

```
data_Hf2ScRh
_chemical_formula_sum 'Hf4 Sc2 Rh2'
_cell_length_a 3.3375
_cell_length_b 4.8599
_cell_length_c 9.8818
_cell_angle_alpha 90.00
_cell_angle_beta 90.00
_cell_angle_gamma 90.00
_space_group_name_H-M_alt 'I m m m'
_space_group_IT_number 71
_space_group_name_Hall '-I 2 2'
loop_
_atom_site_label
_atom_site_fract_x
_atom_site_fract_y
_atom_site_fract_z
Hf1 0.0000 0.0000 0.2173
Sc1 0.0000 0.5000 0.0000
Rh1 0.0000 0.5000 0.5000
```

Computed properties:
* theoretical density: 10.5 g/cm³
* N(E_F): 5.6 states/eV per cell
* spin magnetization: 0.00 Bohr magnetons per cell
* formation enthalpy at 0 K: -0.46 eV per atom

---

3.
The following is a DFT calculation (PBE) of a relaxed HfScRh crystal.

```
data_HfScRh
_chemical_formula_sum 'Hf2 Sc2 Rh2'
_cell_length_a 3.2939
_cell_length_b 3.2939
_cell_length_c 10.5972
_cell_angle_alpha 90.00
_cell_angle_beta 90.00
_cell_angle_gamma 90.00
_space_group_name_H-M_alt 'I 4 m m'
_space_group_IT_number 107
_space_group_name_Hall 'I 4 -2'
loop_
_atom_site_label
_atom_site_fract_x
_atom_site_fract_y
_atom_site_fract_z
Hf1 0.0000 0.0000 0.0000
Sc1 0.0000 0.0000 0.7007
Rh1 0.0000 0.0000 0.3587
```

Computed properties:
* theoretical density: 9.4 g/cm³
* N(E_F): 8.8 states/eV per cell
* spin magnetization: 1.35 Bohr magnetons per cell
* formation enthalpy at 0 K: -0.56 eV per atom
* offset from the most stable computed form: 62 meV per atom

---

4.
The following is a DFT calculation (PBE) of a relaxed HfSc2Rh2 crystal.

```
data_HfSc2Rh2
_chemical_formula_sum 'Hf2 Sc4 Rh4'
_cell_length_a 6.9851
_cell_length_b 6.9851
_cell_length_c 3.9340
_cell_angle_alpha 90.00
_cell_angle_beta 90.00
_cell_angle_gamma 90.00
_space_group_name_H-M_alt 'P 4/m b m'
_space_group_IT_number 127
_space_group_name_Hall '-P 4 2ab'
loop_
_atom_site_label
_atom_site_fract_x
_atom_site_fract_y
_atom_site_fract_z
Hf1 0.0000 0.0000 0.0000
Sc1 0.1666 0.3334 0.5000
Rh1 0.1419 0.6419 0.0000
```

Computed properties:
* theoretical density: 8.2 g/cm³
* N(E_F): 8.8 states/eV per cell
* spin magnetization: 0.00 Bohr magnetons per cell
* formation enthalpy at 0 K: -0.71 eV per atom
* offset from the most stable computed form: 0 meV per atom

---

5.
The following is a DFT calculation (PBE) of a relaxed HfScRh4 crystal.

```
data_HfScRh4
_chemical_formula_sum 'Hf2 Sc2 Rh8'
_cell_length_a 10.1859
_cell_length_b 3.1966
_cell_length_c 6.3256
_cell_angle_alpha 90.00
_cell_angle_beta 108.12
_cell_angle_gamma 90.00
_space_group_name_H-M_alt 'C 1 2/m 1'
_space_group_IT_number 12
loop_
_space_group_symop_operation_xyz
'x,y,z'
'-x,-y,-z'
'-x,y,-z'
'x,-y,z'
'x+1/2,y+1/2,z'
'-x+1/2,-y+1/2,-z'
'-x+1/2,y+1/2,-z'
'x+1/2,-y+1/2,z'
loop_
_atom_site_label
_atom_site_fract_x
_atom_site_fract_y
_atom_site_fract_z
Hf1 0.0000 0.0000 0.0000
Sc1 0.0000 0.0000 0.5000
Rh1 0.1562 0.5000 0.8314
Rh2 0.1569 0.5000 0.3266
```

Computed properties:
* theoretical density: 10.8 g/cm³
* N(E_F): 15.7 states/eV per cell
* spin magnetization: 0.00 Bohr magnetons per cell
* formation enthalpy at 0 K: -0.57 eV per atom
* offset from the most stable computed form: 76 meV per atom

---

6.
The following is a DFT calculation (PBE) of a relaxed HfSc2Rh3 crystal.

```
data_HfSc2Rh3
_chemical_formula_sum 'Hf1 Sc2 Rh3'
_cell_length_a 3.2794
_cell_length_b 3.2794
_cell_length_c 9.5667
_cell_angle_alpha 90.00
_cell_angle_beta 90.00
_cell_angle_gamma 90.00
_space_group_name_H-M_alt 'P 4/m m m'
_space_group_IT_number 123
_space_group_name_Hall '-P 4 2'
loop_
_atom_site_label
_atom_site_fract_x
_atom_site_fract_y
_atom_site_fract_z
Hf1 0.0000 0.0000 0.0000
Sc1 0.0000 0.0000 0.3366
Rh1 0.5000 0.5000 0.1620
Rh2 0.5000 0.5000 0.5000
```

Computed properties:
* theoretical density: 9.3 g/cm³
* N(E_F): 3.5 states/eV per cell
* spin magnetization: 0.00 Bohr magnetons per cell
* formation enthalpy at 0 K: -0.99 eV per atom
* offset from the most stable computed form: 3 meV per atom